1.
Here is BaMg2Be after structural relaxation from Alexandria. Energies are from PBE-GGA.

Cell: 3.5775 3.5775 8.1664 Å, 90.00 90.00 90.00°
With the nearest neighbours (Å) after each atom.
Space group P4mm (No. 99)
Inequivalent atoms, fractional coordinates:
Ba: 0.0000 0.0000 0.0000 [1 per cell]  1 Mg 3.40, 4 Be 3.47, 4 Ba 3.58
Mg: 0.0000 0.0000 0.4164 [1 per cell]  4 Be 2.73
Mg: 0.5000 0.5000 0.6428 [1 per cell]  1 Be 2.88, 4 Mg 3.13
Be: 0.5000 0.5000 0.2904 [1 per cell]  5 Mg 2.73-2.88

Fermi-level density of states, states/eV per atom: 0.803
Calculated density, Mg/m³: 3.10
E, eV for the cell shown: -7.66
Size of the total moment, μB/f.u.: 0.00
Energy relative to the elements, eV per atom: 0.29

2.
Here is BaMg2Be after structural relaxation from Alexandria. Energies are from PBE-GGA.

Cell: 8.1544 4.7070 6.7195 Å, 90.00 113.98 90.00°
With the nearest neighbours (Å) after each atom.
Space group Cm (No. 8)
Inequivalent atoms, fractional coordinates:
Ba: 0.0000 0.0000 0.0000 [2 per cell]  4 Be 3.44-3.83, 7 Mg 3.55-3.78
Mg: 0.1927 0.0000 0.5776 [2 per cell]  3 Be 2.85, 3 Mg 2.87
Mg: 0.4760 0.0000 0.4281 [2 per cell]  3 Be 2.72, 3 Mg 2.87
Be: 0.3131 0.5000 0.4394 [2 per cell]  6 Mg 2.72-2.85

Fermi-level density of states, states/eV per atom: 0.710
Calculated density, Mg/m³: 2.75
E, eV for the cell shown: -15.91
Size of the total moment, μB/f.u.: 0.00
Energy relative to the elements, eV per atom: 0.22

3.
Here is Ba2MgBeMo after structural relaxation from Alexandria. Energies are from PBE-GGA.

Cell: 5.9261 5.9261 4.6047 Å, 90.00 90.00 90.00°
With the nearest neighbours (Å) after each atom.
Space group P4/mmm (No. 123)
Inequivalent atoms, fractional coordinates:
Ba: 0.0000 0.5000 0.0000 [2 per cell]  2 Mo 2.96
Mg: 0.0000 0.0000 0.5000 [1 per cell]  8 Ba 3.75, 4 Be 4.19
Be: 0.5000 0.5000 0.5000 [1 per cell]  2 Mo 2.30
Mo: 0.5000 0.5000 0.0000 [1 per cell]  2 Be 2.30

Fermi-level density of states, states/eV per atom: 1.004
Calculated density, Mg/m³: 4.15
E, eV for the cell shown: -15.76
Size of the total moment, μB/f.u.: 0.00
Energy relative to the elements, eV per atom: 0.85

4.
Here is BaMgBeO3 after structural relaxation from Alexandria. Energies are from PBE-GGA.

Cell: 3.2772 11.5370 7.9506 Å, 90.00 90.00 90.00°
With the nearest neighbours (Å) after each atom.
Space group Cmcm (No. 63)
Inequivalent atoms, fractional coordinates:
Ba: 0.0000 0.2308 0.2500 [4 per cell]  8 O 2.79-2.91, 2 Be 3.04
Mg: 0.0000 0.5000 0.0000 [4 per cell]  6 O 2.03-2.19
Be: 0.0000 0.0474 0.7500 [4 per cell]  2 O 1.59
O: 0.0000 0.1152 0.5755 [8 per cell]  1 Be 1.59
O: 0.0000 0.4647 0.7500 [4 per cell]  2 Be 1.90, 2 Mg 2.03

Fermi-level density of states, states/eV per atom: 0.000
Calculated density, Mg/m³: 4.83
E, eV for the cell shown: -150.07
Size of the total moment, μB/f.u.: 0.00
Formation energy (no corrections), eV per atom: -2.567

> Which value of calculated density does entry 1 give?

3.10 Mg/m³